[1]
The following is a DFT calculation (PBE) of CaMnIr after structural relaxation.

- D(E_F): 2.20 states/eV/f.u.
- ΔH_f (0 K): -0.122 eV/atom
- E above lowest polymorph: 0.0826 eV per atom

abc: 5.084 4.517 5.703
angles: 113.33 92.25 90.00
Site moments in Bohr magnetons follow the coordinates.
Positions (direct):
Ir 0.838 0.191 0.640  0.18
Mn 0.597 0.650 0.557  3.41
Mn 0.355 0.218 0.694  3.19
Ir 0.115 0.739 0.736  0.19
Ca 0.592 0.922 0.102  -0.04
Ca 0.073 0.467 0.193  -0.03

***

[2]
The following is a DFT calculation (PBE) of Sm3Y2Er4 after structural relaxation.

- D(E_F): 14.35 states/eV/f.u.
- ΔH_f (0 K): 0.210 eV/atom

abc: 5.048 6.005 11.729
angles: 69.51 77.57 65.14
Positions (direct):
Y 0.837 0.746 0.579
Sm 0.000 0.000 0.000
Er 0.719 0.663 0.899
Er 0.281 0.337 0.101
Sm 0.441 0.355 0.762
Y 0.163 0.254 0.421
Er 0.145 0.989 0.721
Er 0.855 0.011 0.279
Sm 0.559 0.645 0.238

***

[3]
The following is a DFT calculation (PBE) of YScCo after structural relaxation.

- D(E_F): 1.98 states/eV/f.u.
- ΔH_f (0 K): -0.151 eV/atom
- E above lowest polymorph: 0.0184 eV per atom

abc: 6.413 6.413 3.278
angles: 75.19 75.19 29.62
Site moments in Bohr magnetons follow the coordinates.
Positions (direct):
Co 0.990 0.990 0.010  0.92
Y 0.636 0.636 0.364  -0.03
Sc 0.374 0.374 0.626  -0.05